1.
{
  "formula": "Tb3Pm8Mg2",
  "functional": "PBE",
  "state": "optimized geometry",
  "energy_ev_per_cell": -54.1,
  "ef_ev_per_atom": 0.074,
  "crystal_system": "triclinic",
  "lattice_angstrom": [[-4.190, -2.535, -5.492], [3.633, -6.448, -9.514], [-2.061, -5.871, 1.440]],
  "species": ["Pm", "Pm", "Pm", "Pm", "Pm", "Pm", "Pm", "Pm", "Tb", "Tb", "Tb", "Mg", "Mg"],
  "fractional_positions": [[0.476, 0.148, 0.539], [0.954, 0.177, 0.544], [0.834, 0.692, 0.937], [0.649, 0.322, 0.099], [0.351, 0.678, 0.901], [0.166, 0.308, 0.063], [0.524, 0.852, 0.461], [0.046, 0.823, 0.456], [0.242, 0.001, 0.011], [0.758, 0.999, 0.989], [0.000, 0.500, 0.500], [0.596, 0.562, 0.328], [0.404, 0.438, 0.672]]
}



2.
{
  "formula": "Tb14PmMg",
  "functional": "PBE",
  "state": "optimized geometry",
  "energy_ev_per_cell": -71.1,
  "ef_ev_per_atom": 0.004,
  "crystal_system": "orthorhombic",
  "lattice_angstrom": [[-1.939, -5.242, -4.416], [6.827, 0.719, 1.902], [-1.778, -6.915, 8.990]],
  "species": ["Tb", "Tb", "Tb", "Tb", "Tb", "Tb", "Tb", "Tb", "Tb", "Tb", "Tb", "Tb", "Tb", "Tb", "Mg", "Pm"],
  "fractional_positions": [[0.375, 0.126, 0.748], [0.043, 0.460, 0.000], [0.375, 0.625, 0.253], [0.204, 0.289, 0.500], [0.874, 0.625, 0.252], [0.542, 0.458, 0.000], [0.042, 0.958, 0.000], [0.875, 0.125, 0.246], [0.375, 0.126, 0.252], [0.711, 0.796, 0.500], [0.540, 0.957, 0.000], [0.874, 0.625, 0.748], [0.875, 0.125, 0.754], [0.375, 0.625, 0.747], [0.208, 0.792, 0.500], [0.712, 0.288, 0.500]]
}



3.
{
  "formula": "Tb7PmMg2",
  "functional": "PBE",
  "state": "optimized geometry",
  "energy_ev_per_cell": -34.6,
  "ef_ev_per_atom": 0.575,
  "crystal_system": "orthorhombic",
  "lattice_angstrom": [[-4.765, 2.434, -0.088], [-4.197, -8.188, 0.720], [2.475, 5.105, 7.279]],
  "species": ["Mg", "Mg", "Tb", "Tb", "Tb", "Tb", "Tb", "Tb", "Tb", "Pm"],
  "fractional_positions": [[0.500, 0.703, 0.297], [0.500, 0.297, 0.703], [0.500, 0.069, 0.297], [0.500, 0.500, 0.500], [0.500, 0.931, 0.703], [0.500, 0.297, 0.069], [0.000, 0.213, 0.787], [0.500, 0.703, 0.931], [0.000, 0.787, 0.213], [0.000, 0.000, 0.000]]
}



4.
{
  "formula": "Tb3Pm6Mg",
  "functional": "PBE",
  "state": "optimized geometry",
  "e_above_lowest_polymorph_mev_per_atom": 0.0,
  "energy_ev_per_cell": -86.6,
  "ef_ev_per_atom": 0.069,
  "crystal_system": "triclinic",
  "lattice_angstrom": [[-2.179, -2.270, 1.636], [1.405, -0.960, -7.152], [24.628, -15.596, 3.196]],
  "species": ["Tb", "Tb", "Tb", "Tb", "Tb", "Tb", "Pm", "Pm", "Pm", "Pm", "Pm", "Pm", "Pm", "Pm", "Pm", "Pm", "Pm", "Pm", "Mg", "Mg"],
  "fractional_positions": [[0.713, 0.510, 0.699], [0.287, 0.490, 0.301], [0.540, 0.849, 0.201], [0.460, 0.151, 0.799], [0.500, 0.500, 0.000], [0.000, 0.000, 0.500], [0.795, 0.704, 0.104], [0.289, 0.994, 0.300], [0.310, 0.715, 0.594], [0.205, 0.296, 0.896], [0.457, 0.647, 0.801], [0.711, 0.006, 0.700], [0.543, 0.353, 0.199], [0.312, 0.207, 0.603], [0.690, 0.285, 0.406], [0.793, 0.205, 0.093], [0.688, 0.793, 0.397], [0.207, 0.795, 0.907], [0.500, 0.500, 0.500], [0.000, 0.000, 0.000]]
}



5.
{
  "formula": "TbPmMg3",
  "functional": "PBE",
  "state": "optimized geometry",
  "e_above_lowest_polymorph_mev_per_atom": 0.0,
  "energy_ev_per_cell": -57.4,
  "ef_ev_per_atom": -0.039,
  "crystal_system": "monoclinic",
  "lattice_angstrom": [[-0.830, -1.242, 4.999], [9.256, -6.385, 2.678], [9.550, 3.831, 5.266]],
  "species": ["Mg", "Mg", "Mg", "Mg", "Mg", "Mg", "Mg", "Mg", "Mg", "Mg", "Mg", "Mg", "Tb", "Tb", "Tb", "Tb", "Pm", "Pm", "Pm", "Pm"],
  "fractional_positions": [[0.555, 0.553, 0.838], [0.445, 0.447, 0.162], [0.352, 0.773, 0.023], [0.638, 0.728, 0.498], [0.055, 0.838, 0.553], [0.945, 0.162, 0.447], [0.138, 0.498, 0.728], [0.362, 0.272, 0.502], [0.148, 0.977, 0.227], [0.862, 0.502, 0.272], [0.648, 0.227, 0.977], [0.852, 0.023, 0.773], [0.050, 0.321, 0.077], [0.950, 0.679, 0.923], [0.550, 0.077, 0.321], [0.450, 0.923, 0.679], [0.250, 0.629, 0.371], [0.750, 0.371, 0.629], [0.250, 0.126, 0.874], [0.750, 0.874, 0.126]]
}



6.
{
  "formula": "Tb5PmMg",
  "functional": "PBE",
  "state": "optimized geometry",
  "e_above_lowest_polymorph_mev_per_atom": 0.0,
  "energy_ev_per_cell": -57.2,
  "ef_ev_per_atom": 0.127,
  "crystal_system": "monoclinic",
  "lattice_angstrom": [[-0.488, 7.752, 1.325], [-4.183, -4.225, -0.249], [1.463, -2.064, 12.612]],
  "species": ["Mg", "Mg", "Tb", "Tb", "Tb", "Tb", "Tb", "Tb", "Tb", "Tb", "Tb", "Tb", "Pm", "Pm"],
  "fractional_positions": [[0.000, 0.000, 0.000], [0.000, 0.000, 0.500], [0.841, 0.406, 0.886], [0.164, 0.602, 0.389], [0.562, 0.398, 0.111], [0.159, 0.594, 0.114], [0.063, 0.000, 0.250], [0.564, 0.406, 0.386], [0.937, 0.000, 0.750], [0.836, 0.398, 0.611], [0.438, 0.602, 0.889], [0.436, 0.594, 0.614], [0.671, 0.000, 0.250], [0.329, 0.000, 0.750]]
}



7.
{
  "formula": "TbPm5Mg6",
  "functional": "PBE",
  "state": "optimized geometry",
  "energy_ev_per_cell": -39.2,
  "ef_ev_per_atom": -0.105,
  "crystal_system": "orthorhombic",
  "lattice_angstrom": [[-2.214, -2.727, 4.163], [-3.432, -4.795, -4.966], [5.416, -6.286, 2.326]],
  "species": ["Pm", "Pm", "Pm", "Pm", "Pm", "Mg", "Mg", "Mg", "Mg", "Mg", "Mg", "Tb"],
  "fractional_positions": [[0.000, 0.500, 0.000], [0.668, 0.500, 0.664], [0.334, 0.000, 0.331], [0.666, 0.000, 0.669], [0.332, 0.500, 0.336], [0.166, 0.247, 0.669], [0.834, 0.247, 0.331], [0.500, 0.249, 0.000], [0.166, 0.753, 0.669], [0.834, 0.753, 0.331], [0.500, 0.751, 0.000], [0.000, 0.000, 0.000]]
}



8.
{
  "formula": "Tb2Pm4Mg",
  "functional": "PBE",
  "state": "optimized geometry",
  "e_above_lowest_polymorph_mev_per_atom": 0.0,
  "energy_ev_per_cell": -117.8,
  "ef_ev_per_atom": 0.057,
  "crystal_system": "monoclinic",
  "lattice_angstrom": [[-3.513, -0.538, 0.013], [1.629, -10.167, 19.232], [1.947, 10.819, 5.554]],
  "species": ["Pm", "Pm", "Pm", "Pm", "Pm", "Pm", "Pm", "Pm", "Pm", "Pm", "Pm", "Pm", "Pm", "Pm", "Pm", "Pm", "Tb", "Tb", "Tb", "Tb", "Tb", "Tb", "Tb", "Tb", "Mg", "Mg", "Mg", "Mg"],
  "fractional_positions": [[0.815, 0.187, 0.068], [0.638, 0.962, 0.885], [0.138, 0.538, 0.385], [0.862, 0.462, 0.615], [0.367, 0.037, 0.614], [0.685, 0.687, 0.432], [0.939, 0.745, 0.182], [0.633, 0.963, 0.386], [0.867, 0.463, 0.114], [0.362, 0.038, 0.115], [0.561, 0.245, 0.318], [0.061, 0.255, 0.818], [0.185, 0.813, 0.932], [0.315, 0.313, 0.568], [0.133, 0.537, 0.886], [0.439, 0.755, 0.682], [0.590, 0.394, 0.844], [0.401, 0.600, 0.655], [0.901, 0.900, 0.155], [0.599, 0.400, 0.345], [0.099, 0.100, 0.845], [0.090, 0.106, 0.344], [0.410, 0.606, 0.156], [0.910, 0.894, 0.656], [0.821, 0.171, 0.572], [0.179, 0.829, 0.428], [0.321, 0.329, 0.072], [0.679, 0.671, 0.928]]
}